Material: AcTm4Mn3O12
Method: DFT, PBE+U
State: optimized geometry

a = 8.0971 Å, b = 8.0971 Å, c = 8.0971 Å
α = 90.00°, β = 90.00°, γ = 90.00°
With the nearest neighbours (Å) after each atom.
Space group Im-3 (No. 204)
Inequivalent atoms, fractional coordinates:
Ac 0.0000 0.0000 0.0000 [2 per cell]  12 O 2.87
Tm 0.2500 0.2500 0.2500 [8 per cell]  6 O 2.22
Mn 0.0000 0.0000 0.5000 [6 per cell]  4 O 1.96
O 0.0000 0.1590 0.3170 [24 per cell]  1 Mn 1.96

Results
raw total energy = -7.979 eV per atom
V = 13.3 A^3/atom
M_tot = 0.597 μB/atom